{
  "formula": "Na5MgSb2",
  "functional": "PBE",
  "state": "relaxed",
  "space_group": "P6_3/mmc (194)",
  "raw_formation_energy_ev_per_atom": -0.2869,
  "lattice": [[5.474, 0.000, 0.000], [-2.737, 4.741, 0.000], [0.000, 0.000, 19.424]],
  "species": ["Na", "Na", "Na", "Na", "Na", "Na", "Na", "Na", "Na", "Na", "Mg", "Mg", "Sb", "Sb", "Sb", "Sb"],
  "fractional_positions": [[0.000, 0.000, 0.140], [0.000, 0.000, 0.360], [0.000, 0.000, 0.640], [0.000, 0.000, 0.860], [0.333, 0.667, 0.055], [0.333, 0.667, 0.250], [0.333, 0.667, 0.445], [0.667, 0.333, 0.555], [0.667, 0.333, 0.750], [0.667, 0.333, 0.945], [0.333, 0.667, 0.750], [0.667, 0.333, 0.250], [0.333, 0.667, 0.610], [0.333, 0.667, 0.890], [0.667, 0.333, 0.110], [0.667, 0.333, 0.390]]
}

=====

{
  "formula": "Ac4Pm10Ho",
  "functional": "PBE",
  "state": "relaxed",
  "space_group": "I4/mmm (139)",
  "dft_energy_ev_per_cell": -64.89,
  "lattice": [[-5.876, 5.876, 4.132], [5.876, -5.876, 4.132], [5.876, 5.876, -4.132]],
  "species": ["Ac", "Ac", "Ac", "Ac", "Pm", "Pm", "Pm", "Pm", "Pm", "Pm", "Pm", "Pm", "Pm", "Pm", "Ho"],
  "fractional_positions": [[0.227, 0.227, 0.454], [0.227, 0.773, 0.000], [0.773, 0.227, 0.000], [0.773, 0.773, 0.546], [0.087, 0.294, 0.793], [0.250, 0.750, 0.500], [0.294, 0.087, 0.793], [0.294, 0.501, 0.207], [0.499, 0.706, 0.793], [0.501, 0.294, 0.207], [0.706, 0.499, 0.793], [0.706, 0.913, 0.207], [0.750, 0.250, 0.500], [0.913, 0.706, 0.207], [0.000, 0.000, 0.000]]
}